(w)
# LiHoCdS3

Crystalline LiHoCdS3 at its relaxed geometry (PBE, OQMD via LeMat-Bulk).

The space group is Pnma (No. 62) and the conventional cell measures 12.377, 3.944 and 11.441 Å, with angles of 90.00, 90.00 and 90.00 degrees. Symmetry generates all atoms from Li at (0.229, 0.250, 0.038), Ho at (0.005, 0.750, 0.149), Cd at (0.030, 0.250, 0.403), S at (0.108, 0.250, 0.617), S at (0.122, 0.750, 0.947) and S at (0.138, 0.250, 0.224).

---

(x)
# LiHoCdS3

Crystalline LiHoCdS3 at its relaxed geometry (PBE, OQMD via LeMat-Bulk).

The space group is Cmcm (No. 63) and the conventional cell measures 3.929, 12.522 and 10.799 Å, with angles of 90.00, 90.00 and 90.00 degrees. Symmetry generates all atoms from Li at (0.000, 0.246, 0.250), Ho at (0.000, 0.500, 0.000), Cd at (0.000, 0.030, 0.750), S at (0.000, 0.141, 0.562) and S at (0.000, 0.400, 0.750).

---

Which is the most stable structure? (w) is the most stable.

---

(w)
# NaHoCdS3

Crystalline NaHoCdS3 at its relaxed geometry (PBE, OQMD via LeMat-Bulk).

The space group is Cmcm (No. 63) and the conventional cell measures 4.010, 13.248 and 10.723 Å, with angles of 90.00, 90.00 and 90.00 degrees. Symmetry generates all atoms from Na at (0.000, 0.243, 0.250), Ho at (0.000, 0.500, 0.000), Cd at (0.000, 0.039, 0.750), S at (0.000, 0.135, 0.553) and S at (0.000, 0.419, 0.750).

---

(x)
# NaHoCdS3

Crystalline NaHoCdS3 at its relaxed geometry (PBE, OQMD via LeMat-Bulk).

The space group is Pnma (No. 62) and the conventional cell measures 14.148, 4.010 and 11.111 Å, with angles of 90.00, 90.00 and 90.00 degrees. Symmetry generates all atoms from Na at (0.216, 0.250, 0.195), Ho at (0.035, 0.750, 0.856), Cd at (0.042, 0.250, 0.601), S at (0.070, 0.250, 0.370), S at (0.089, 0.750, 0.085) and S at (0.155, 0.250, 0.775).

---

Which is the most stable structure? (x) is the most stable.

---

(w)
# NaHoCdSe3

Crystalline NaHoCdSe3 at its relaxed geometry (PBE, OQMD via LeMat-Bulk).

The space group is Pnma (No. 62) and the conventional cell measures 13.894, 4.164 and 11.277 Å, with angles of 90.00, 90.00 and 90.00 degrees. Symmetry generates all atoms from Na at (0.243, 0.250, 0.090), Ho at (0.023, 0.250, 0.348), Cd at (0.014, 0.750, 0.100), Se at (0.104, 0.250, 0.575), Se at (0.105, 0.750, 0.877) and Se at (0.149, 0.750, 0.262).

---

(x)
# NaHoCdSe3

Crystalline NaHoCdSe3 at its relaxed geometry (PBE, OQMD via LeMat-Bulk).

The space group is Pnma (No. 62) and the conventional cell measures 12.670, 4.139 and 12.250 Å, with angles of 90.00, 90.00 and 90.00 degrees. Symmetry generates all atoms from Na at (0.128, 0.250, 0.005), Ho at (0.049, 0.250, 0.667), Cd at (0.234, 0.250, 0.285), Se at (0.060, 0.750, 0.838), Se at (0.079, 0.250, 0.424) and Se at (0.230, 0.750, 0.145).

---

Which is the most stable structure? (w) is the most stable.

---

(w)
# NaHoCdSe3

Crystalline NaHoCdSe3 at its relaxed geometry (PBE, OQMD via LeMat-Bulk).

The space group is Cmcm (No. 63) and the conventional cell measures 4.137, 13.813 and 11.041 Å, with angles of 90.00, 90.00 and 90.00 degrees. Symmetry generates all atoms from Na at (0.000, 0.243, 0.250), Ho at (0.000, 0.000, 0.000), Cd at (0.000, 0.467, 0.750), Se at (0.000, 0.089, 0.750) and Se at (0.000, 0.361, 0.555).

---

(x)
# NaHoCdSe3

Crystalline NaHoCdSe3 at its relaxed geometry (PBE, OQMD via LeMat-Bulk).

The space group is Pnma (No. 62) and the conventional cell measures 12.652, 4.141 and 12.252 Å, with angles of 90.00, 90.00 and 90.00 degrees. Symmetry generates all atoms from Na at (0.127, 0.250, 0.005), Ho at (0.049, 0.250, 0.667), Cd at (0.234, 0.250, 0.284), Se at (0.061, 0.750, 0.838), Se at (0.079, 0.250, 0.424) and Se at (0.230, 0.750, 0.145).

---

(y)
# NaHoCdSe3

Crystalline NaHoCdSe3 at its relaxed geometry (PBE, OQMD via LeMat-Bulk).

The space group is P2_1/m (No. 11) and the conventional cell measures 8.169, 4.183 and 10.221 Å, with angles of 90.00, 105.34 and 90.00 degrees. Symmetry generates all atoms from Na at (0.208, 0.250, 0.202), Ho at (0.323, 0.750, 0.860), Cd at (0.081, 0.250, 0.608), Se at (0.078, 0.250, 0.864), Se at (0.256, 0.750, 0.552) and Se at (0.441, 0.750, 0.146).

---

(z)
# NaHoCdSe3

Crystalline NaHoCdSe3 at its relaxed geometry (PBE, OQMD via LeMat-Bulk).

The space group is C2/m (No. 12) and the conventional cell measures 17.593, 4.102 and 9.087 Å, with angles of 90.00, 105.34 and 90.00 degrees. Symmetry generates all atoms from Na at (0.132, 0.000, 0.073), Ho at (0.177, 0.000, 0.598), Cd at (0.015, 0.500, 0.721), Se at (0.000, 0.000, 0.500), Se at (0.000, 0.500, 0.000), Se at (0.161, 0.500, 0.370) and Se at (0.176, 0.500, 0.812).

---

Which is the most stable structure? (y) is the most stable.

---

(w)
# Ho2Cd2O5

Crystalline Ho2Cd2O5 at its relaxed geometry (PBE, OQMD via LeMat-Bulk).

The space group is P4/mmm (No. 123) and the conventional cell measures 4.191, 4.191 and 7.188 Å, with angles of 90.00, 90.00 and 90.00 degrees. Symmetry generates all atoms from Ho at (0.000, 0.000, 0.000), Ho at (0.000, 0.000, 0.500), Cd at (0.500, 0.500, 0.203), O at (0.000, 0.500, 0.197) and O at (0.500, 0.500, 0.500).

---

(x)
# Ho2Cd2O5

Crystalline Ho2Cd2O5 at its relaxed geometry (PBE, OQMD via LeMat-Bulk).

The space group is P4/mmm (No. 123) and the conventional cell measures 4.099, 4.099 and 8.434 Å, with angles of 90.00, 90.00 and 90.00 degrees. Symmetry generates all atoms from Ho at (0.000, 0.000, 0.243), Cd at (0.500, 0.500, 0.000), Cd at (0.500, 0.500, 0.500), O at (0.000, 0.000, 0.500) and O at (0.000, 0.500, 0.167).

---

Which is the most stable structure? (x) is the most stable.

---

(w)
# HoCdOs

Crystalline HoCdOs at its relaxed geometry (PBE, OQMD via LeMat-Bulk).

The space group is F-43m (No. 216) and the conventional cell measures 6.500, 6.500 and 6.500 Å, with angles of 90.00, 90.00 and 90.00 degrees. Symmetry generates all atoms from Ho at (0.000, 0.000, 0.000), Cd at (0.250, 0.250, 0.250) and Os at (0.000, 0.000, 0.500).

---

(x)
# HoCdOs

Crystalline HoCdOs at its relaxed geometry (PBE, OQMD via LeMat-Bulk).

The space group is F-43m (No. 216) and the conventional cell measures 6.626, 6.626 and 6.626 Å, with angles of 90.00, 90.00 and 90.00 degrees. Symmetry generates all atoms from Ho at (0.000, 0.000, 0.000), Cd at (0.250, 0.250, 0.750) and Os at (0.250, 0.250, 0.250).

---

Which is the most stable structure? (w) is the most stable.

---

(w)
# PrHoCd6

Crystalline PrHoCd6 at its relaxed geometry (PBE, OQMD via LeMat-Bulk).

The space group is P4/mmm (No. 123) and the conventional cell measures 5.114, 5.114 and 7.296 Å, with angles of 90.00, 90.00 and 90.00 degrees. Symmetry generates all atoms from Pr at (0.000, 0.000, 0.000), Ho at (0.500, 0.500, 0.500), Cd at (0.000, 0.000, 0.500), Cd at (0.000, 0.500, 0.258) and Cd at (0.500, 0.500, 0.000).

---

(x)
# PrHoCd6

Crystalline PrHoCd6 at its relaxed geometry (PBE, OQMD via LeMat-Bulk).

The space group is Amm2 (No. 38) and the conventional cell measures 4.857, 7.199 and 10.816 Å, with angles of 90.00, 90.00 and 90.00 degrees. Symmetry generates all atoms from Pr at (0.000, 0.000, 0.000), Ho at (0.500, 0.000, 0.728), Cd at (0.000, 0.000, 0.542), Cd at (0.000, 0.216, 0.270), Cd at (0.500, 0.000, 0.196) and Cd at (0.500, 0.211, 0.458).

---

Which is the most stable structure? (w) is the most stable.

---

(w)
# HoCdTe

Crystalline HoCdTe at its relaxed geometry (PBE, OQMD via LeMat-Bulk).

The space group is F-43m (No. 216) and the conventional cell measures 7.264, 7.264 and 7.264 Å, with angles of 90.00, 90.00 and 90.00 degrees. Symmetry generates all atoms from Ho at (0.000, 0.000, 0.000), Cd at (0.000, 0.000, 0.500) and Te at (0.250, 0.250, 0.250).

---

(x)
# HoCdTe

Crystalline HoCdTe at its relaxed geometry (PBE, OQMD via LeMat-Bulk).

The space group is F-43m (No. 216) and the conventional cell measures 7.221, 7.221 and 7.221 Å, with angles of 90.00, 90.00 and 90.00 degrees. Symmetry generates all atoms from Ho at (0.000, 0.000, 0.000), Cd at (0.250, 0.250, 0.750) and Te at (0.250, 0.250, 0.250).

---

Which is the most stable structure? (x) is the most stable.

---

(w)
# HoTmCd6

Crystalline HoTmCd6 at its relaxed geometry (PBE, OQMD via LeMat-Bulk).

The space group is Amm2 (No. 38) and the conventional cell measures 4.819, 7.172 and 10.626 Å, with angles of 90.00, 90.00 and 90.00 degrees. Symmetry generates all atoms from Ho at (0.000, 0.000, 0.000), Tm at (0.500, 0.000, 0.738), Cd at (0.000, 0.000, 0.546), Cd at (0.000, 0.216, 0.273), Cd at (0.500, 0.000, 0.192) and Cd at (0.500, 0.215, 0.464).

---

(x)
# HoTmCd6

Crystalline HoTmCd6 at its relaxed geometry (PBE, OQMD via LeMat-Bulk).

The space group is P4/mmm (No. 123) and the conventional cell measures 5.033, 5.033 and 7.127 Å, with angles of 90.00, 90.00 and 90.00 degrees. Symmetry generates all atoms from Ho at (0.000, 0.000, 0.000), Tm at (0.500, 0.500, 0.500), Cd at (0.000, 0.000, 0.500), Cd at (0.000, 0.500, 0.251) and Cd at (0.500, 0.500, 0.000).

---

Which is the most stable structure? (w) is the most stable.